## TbMg6Ag2 (GGA-PBE)

Data for an optimized crystal structure of TbMg6Ag2.

Computed properties:
E_form ... -0.109 eV/atom
DOS(E_F) ... 0.56 states/eV per atom
V ... 22.645 Å³ per atom

Unit cell a=4.2826 b=4.2826 c=11.1121 alpha=90.00 beta=90.00 gamma=90.00
Space group P4/mmm (No. 123)
Inequivalent atoms, fractional coordinates:
Tb 0.0000 0.0000 0.0000
Mg 0.0000 0.0000 0.5000
Mg 0.0000 0.5000 0.2824
Mg 0.5000 0.5000 0.5000
Ag 0.5000 0.5000 0.1216